DFT (PBE) results for a relaxed structure of Ac8Os3RhBr4.

Results
* energy relative to the elements, uncorrected: -13.17 eV per formula unit
* density: 8678 kg/m3
* total magnetic moment: 0.000 Bohr magnetons per cell

```
data_Ac8Os3RhBr4
_chemical_formula_sum 'Ac24 Os9 Rh3 Br12'
_cell_length_a 8.6952
_cell_length_b 8.6952
_cell_length_c 24.6266
_cell_angle_alpha 90.00
_cell_angle_beta 90.00
_cell_angle_gamma 120.00
_space_group_name_H-M_alt 'R -3 m'
_space_group_IT_number 166
_space_group_name_Hall '-R 3 2"'
loop_
_atom_site_label
_atom_site_type_symbol
_atom_site_fract_x
_atom_site_fract_y
_atom_site_fract_z
Ac1 Ac 0.0000 0.0000 0.2317
Ac2 Ac 0.0047 0.5024 0.7686
Os1 Os 0.0000 0.5000 0.5000
Rh1 Rh 0.0000 0.0000 0.5000
Br1 Br 0.0000 0.0000 0.0000
Br2 Br 0.0000 0.5000 0.0000
```